[1]
A plane-wave DFT calculation with SCAN was carried out for a PBEsol-optimized structure of K2TaF7.

Output
Energy above the lowest structure with this stoichiometry: 0 kJ/mol of formula units
Calculated volume: 155.8 Å³/f.u.
E: -14.19 eV per atom
M_tot: 0.10 μB/f.u.
SG: P2_1/c

abc: 5.8133 8.4696 12.6566
angles: 90.00 90.00 90.31
Atoms (fractional coordinates):
K (0.2362, 0.0543, 0.7821)
K (0.7638, 0.4457, 0.2821)
K (0.7638, 0.9457, 0.2179)
K (0.2362, 0.5543, 0.7179)
K (0.7617, 0.3186, 0.9400)
K (0.2383, 0.1814, 0.4400)
K (0.2383, 0.6814, 0.0600)
K (0.7617, 0.8186, 0.5600)
Ta (0.7296, 0.2785, 0.6280)
Ta (0.2704, 0.2215, 0.1280)
Ta (0.2704, 0.7215, 0.3720)
Ta (0.7296, 0.7785, 0.8720)
F (0.4398, 0.3718, 0.5767)
F (0.5602, 0.1282, 0.0767)
F (0.5602, 0.6282, 0.4233)
F (0.4398, 0.8718, 0.9233)
F (0.8223, 0.4985, 0.6205)
F (0.1777, 0.0015, 0.1205)
F (0.1777, 0.5015, 0.3795)
F (0.8223, 0.9985, 0.8795)
F (0.7857, 0.2853, 0.4758)
F (0.2143, 0.2147, 0.9758)
F (0.2143, 0.7147, 0.5242)
F (0.7857, 0.7853, 0.0242)
F (0.9536, 0.7991, 0.7544)
F (0.0464, 0.7009, 0.2544)
F (0.0464, 0.2009, 0.2456)
F (0.9536, 0.2991, 0.7456)
F (0.5375, 0.7934, 0.7436)
F (0.4625, 0.7066, 0.2436)
F (0.4625, 0.2066, 0.2564)
F (0.5375, 0.2934, 0.7564)
F (0.9621, 0.6123, 0.8944)
F (0.0379, 0.8877, 0.3944)
F (0.0379, 0.3877, 0.1056)
F (0.9621, 0.1123, 0.6056)
F (0.5378, 0.5882, 0.8893)
F (0.4622, 0.9118, 0.3893)
F (0.4622, 0.4118, 0.1107)
F (0.5378, 0.0882, 0.6107)

=====

[2]
A plane-wave DFT calculation with SCAN was carried out for a PBEsol-optimized structure of K3TaF8.

Output
Calculated volume: 183.1 Å³/f.u.
E: -13.31 eV per atom
M_tot: 0.00 μB/f.u.
SG: P6_3mc

abc: 6.2434 8.2302 8.2302
angles: 120.00 90.00 90.00
Atoms (fractional coordinates):
K (0.2550, 0.6930, 0.8465)
K (0.7550, 0.3070, 0.1535)
K (0.2550, 0.1535, 0.3070)
K (0.2550, 0.1535, 0.8465)
K (0.7550, 0.8465, 0.1535)
K (0.7550, 0.8465, 0.6930)
Ta (0.7608, 0.3333, 0.6667)
Ta (0.2608, 0.6667, 0.3333)
F (0.4958, 0.0000, 0.0000)
F (0.9958, 0.0000, 0.0000)
F (0.9670, 0.4381, 0.5619)
F (0.4670, 0.5619, 0.4381)
F (0.9670, 0.1237, 0.5619)
F (0.9670, 0.4381, 0.8763)
F (0.4670, 0.5619, 0.1237)
F (0.4670, 0.8763, 0.4381)
F (0.4455, 0.3333, 0.6667)
F (0.9455, 0.6667, 0.3333)
F (0.6822, 0.2003, 0.7997)
F (0.1822, 0.7997, 0.2003)
F (0.6822, 0.5994, 0.7997)
F (0.6822, 0.2003, 0.4006)
F (0.1822, 0.7997, 0.5994)
F (0.1822, 0.4006, 0.2003)

=====

[3]
A plane-wave DFT calculation with SCAN was carried out for a PBEsol-optimized structure of K2TaF7.

Output
Energy above the lowest structure with this stoichiometry: 11 kJ/mol of formula units
Calculated volume: 161.8 Å³/f.u.
E: -14.17 eV per atom
M_tot: 0.12 μB/f.u.
SG: Pnma

abc: 5.7530 9.9971 11.2497
angles: 90.00 90.00 90.00
Atoms (fractional coordinates):
K (0.2500, 0.3801, 0.4427)
K (0.2500, 0.8801, 0.0573)
K (0.7500, 0.6199, 0.5573)
K (0.7500, 0.1199, 0.9427)
K (0.7500, 0.0228, 0.3319)
K (0.7500, 0.5228, 0.1681)
K (0.2500, 0.9772, 0.6681)
K (0.2500, 0.4772, 0.8319)
Ta (0.7500, 0.2535, 0.6148)
Ta (0.7500, 0.7535, 0.8852)
Ta (0.2500, 0.7465, 0.3852)
Ta (0.2500, 0.2465, 0.1148)
F (0.5278, 0.1532, 0.5166)
F (0.9722, 0.6532, 0.9834)
F (0.0278, 0.8468, 0.4834)
F (0.4722, 0.3468, 0.0166)
F (0.4722, 0.8468, 0.4834)
F (0.0278, 0.3468, 0.0166)
F (0.9722, 0.1532, 0.5166)
F (0.5278, 0.6532, 0.9834)
F (0.5278, 0.3967, 0.6524)
F (0.9722, 0.8967, 0.8476)
F (0.0278, 0.6033, 0.3476)
F (0.4722, 0.1033, 0.1524)
F (0.4722, 0.6033, 0.3476)
F (0.0278, 0.1033, 0.1524)
F (0.9722, 0.3967, 0.6524)
F (0.5278, 0.8967, 0.8476)
F (0.5441, 0.1716, 0.7330)
F (0.9559, 0.6716, 0.7670)
F (0.0441, 0.8284, 0.2670)
F (0.4559, 0.3284, 0.2330)
F (0.4559, 0.8284, 0.2670)
F (0.0441, 0.3284, 0.2330)
F (0.9559, 0.1716, 0.7330)
F (0.5441, 0.6716, 0.7670)
F (0.7500, 0.3616, 0.4674)
F (0.7500, 0.8616, 0.0326)
F (0.2500, 0.6384, 0.5326)
F (0.2500, 0.1384, 0.9674)

=====

[4]
A plane-wave DFT calculation with SCAN was carried out for a PBEsol-optimized structure of K3TbF6.

Output
Calculated volume: 184.3 Å³/f.u.
E: -12.83 eV per atom
M_tot: 0.31 μB/f.u.
SG: P2_1/c

abc: 6.2872 6.5479 8.9579
angles: 90.00 88.70 90.00
Each line ends with the local moment (μB).
Atoms (fractional coordinates):
K (0.5000, 0.5000, 0.0000)  0.00
K (0.0000, 0.0000, 0.5000)  0.00
K (0.4798, 0.0551, 0.2416)  0.00
K (0.5202, 0.9449, 0.7584)  0.00
K (0.0202, 0.5551, 0.2584)  0.00
K (0.9798, 0.4449, 0.7416)  0.00
Tb (0.5000, 0.5000, 0.5000)  -0.01
Tb (0.0000, 0.0000, 0.0000)  -0.01
F (0.3277, 0.7690, 0.4216)  0.05
F (0.6723, 0.2310, 0.5784)  0.05
F (0.1723, 0.2690, 0.0784)  0.05
F (0.8277, 0.7310, 0.9216)  0.05
F (0.6227, 0.4353, 0.2749)  0.05
F (0.3773, 0.5647, 0.7251)  0.05
F (0.8773, 0.9353, 0.2251)  0.05
F (0.1227, 0.0647, 0.7749)  0.05
F (0.2200, 0.3207, 0.4485)  0.04
F (0.7800, 0.6793, 0.5515)  0.04
F (0.2800, 0.8207, 0.0515)  0.04
F (0.7200, 0.1793, 0.9485)  0.04

=====

[5]
A plane-wave DFT calculation with SCAN was carried out for a PBEsol-optimized structure of K2TbF5.

Output
Calculated volume: 127.4 Å³/f.u.
E: -13.88 eV per atom
M_tot: 0.15 μB/f.u.
SG: Pnma

abc: 6.5638 7.2450 10.7145
angles: 90.00 90.00 90.00
Each line ends with the local moment (μB).
Atoms (fractional coordinates):
K (0.4661, 0.5030, 0.8283)  0.00
K (0.5339, 0.4970, 0.1717)  0.00
K (0.9661, 0.4970, 0.6717)  0.00
K (0.5339, 0.0030, 0.1717)  0.00
K (0.0339, 0.5030, 0.3283)  0.00
K (0.4661, 0.9970, 0.8283)  0.00
K (0.0339, 0.9970, 0.3283)  0.00
K (0.9661, 0.0030, 0.6717)  0.00
Tb (0.4380, 0.2500, 0.5049)  0.00
Tb (0.5620, 0.7500, 0.4951)  0.00
Tb (0.9380, 0.7500, 0.9951)  0.00
Tb (0.0620, 0.2500, 0.0049)  0.00
F (0.1650, 0.2500, 0.8067)  0.06
F (0.8350, 0.7500, 0.1933)  0.06
F (0.6650, 0.7500, 0.6933)  0.06
F (0.3350, 0.2500, 0.3067)  0.06
F (0.6332, 0.2500, 0.6689)  0.02
F (0.3668, 0.7500, 0.3311)  0.02
F (0.1332, 0.7500, 0.8311)  0.02
F (0.8668, 0.2500, 0.1689)  0.02
F (0.1034, 0.2500, 0.5118)  0.06
F (0.8966, 0.7500, 0.4882)  0.06
F (0.6034, 0.7500, 0.9882)  0.06
F (0.3966, 0.2500, 0.0118)  0.06
F (0.3528, 0.9654, 0.5779)  0.01
F (0.6472, 0.0346, 0.4221)  0.01
F (0.8528, 0.0346, 0.9221)  0.01
F (0.6472, 0.4654, 0.4221)  0.01
F (0.1472, 0.9654, 0.0779)  0.01
F (0.3528, 0.5346, 0.5779)  0.01
F (0.1472, 0.5346, 0.0779)  0.01
F (0.8528, 0.4654, 0.9221)  0.01

=====

[6]
A plane-wave DFT calculation with SCAN was carried out for a PBEsol-optimized structure of KTb3F10.

Output
Calculated volume: 191.8 Å³/f.u.
E: -17.41 eV per atom
M_tot: 0.20 μB/f.u.
SG: Fm-3m

abc: 8.1563 8.1563 8.1563
angles: 60.00 60.00 60.00
Atoms (fractional coordinates):
F (0.5000, 0.1686, 0.5000)
F (0.1686, 0.5000, 0.8314)
F (0.8314, 0.5000, 0.1686)
F (0.5000, 0.8314, 0.5000)
F (0.5000, 0.1686, 0.8314)
F (0.8314, 0.5000, 0.5000)
F (0.1686, 0.5000, 0.5000)
F (0.5000, 0.8314, 0.1686)
F (0.8314, 0.1686, 0.5000)
F (0.5000, 0.5000, 0.1686)
F (0.5000, 0.5000, 0.8314)
F (0.1686, 0.8314, 0.5000)
F (0.8879, 0.3363, 0.8879)
F (0.3363, 0.8879, 0.8879)
F (0.8879, 0.8879, 0.3363)
F (0.8879, 0.8879, 0.8879)
F (0.6637, 0.1121, 0.1121)
F (0.1121, 0.6637, 0.1121)
F (0.1121, 0.1121, 0.6637)
F (0.1121, 0.1121, 0.1121)
K (0.7500, 0.7500, 0.7500)
K (0.2500, 0.2500, 0.2500)
Tb (0.7603, 0.2397, 0.7603)
Tb (0.2397, 0.7603, 0.2397)
Tb (0.7603, 0.2397, 0.2397)
Tb (0.2397, 0.7603, 0.7603)
Tb (0.2397, 0.2397, 0.7603)
Tb (0.7603, 0.7603, 0.2397)